The following is a PBE calculation of a relaxed Tl3GeTe3 crystal, from Alexandria.

The structure in POSCAR format:
```
Tl3GeTe3
1.0
4.589 -6.758 0.000
4.589 6.758 0.000
-1.699 0.000 8.472
Tl Ge Te
6 2 6
Direct
0.161 0.839 0.000
0.244 0.756 0.500
0.407 0.407 0.143
0.593 0.593 0.857
0.756 0.244 0.500
0.839 0.161 0.000
0.165 0.165 0.645
0.835 0.835 0.355
0.125 0.125 0.314
0.143 0.464 0.785
0.464 0.143 0.785
0.536 0.857 0.215
0.857 0.536 0.215
0.875 0.875 0.686
```

Properties
* energy relative to the elements, uncorrected: -0.1952 eV per atom
* offset from the most stable computed form: 60.4 meV per atom
* VASP energy: -45.0 eV per cell
* D(E_F): 2.25 states/eV per cell